The following is a DFT calculation (PBE) of a relaxed structure of CoOsSe2Br.

Summary:
**Symmetry**: P4/mmm, No. 123
**Formation energy from raw total energies**: 1024 meV per atom
**Energy above the most stable polymorph in this dataset**: 0.000 eV per atom

Cell lengths 4.7897, 4.7897, 5.3267 Å; angles 90.00, 90.00, 90.00 degrees
Closest atoms and distances in Å follow each position.
Element x y z (fractional)
Br (0.0000, 0.0000, 0.5000)  2 Os 2.66
Os (0.0000, 0.0000, 0.0000)  4 Se 2.39, 2 Br 2.66
Se (0.5000, 0.0000, 0.0000)  2 Os 2.39
Co (0.5000, 0.5000, 0.5000)  4 Br 3.39, 8 Se 3.58
Se (0.0000, 0.5000, 0.0000)  2 Os 2.39


The following is a DFT calculation (PBE) of a relaxed structure of La3Tb2Pr6Dy.

Summary:
**Symmetry**: C2/m, No. 12
**Energy relative to the elements**: 20 kJ/mol of formula units

Cell lengths 6.3932, 6.3932, 12.1811 Å; angles 95.04, 95.04, 120.05 degrees
Closest atoms and distances in Å follow each position.
Element x y z (fractional)
Pr (0.2516, 0.2516, 0.7556)  1 Dy 3.62, 2 Tb 3.62, 6 Pr 3.69, 3 La 3.73-3.74
Pr (0.9184, 0.5852, 0.7558)  1 Dy 3.62, 2 Tb 3.62, 6 Pr 3.69, 3 La 3.73-3.74
La (0.8332, 0.1668, 0.5000)  6 La 3.69-3.70, 6 Pr 3.73-3.74
Tb (0.6666, 0.3334, 0.0000)  6 Pr 3.62, 3 Dy 3.69, 3 Tb 3.69
Dy (0.0000, 0.0000, 0.0000)  6 Pr 3.62, 6 Tb 3.69
Pr (0.5852, 0.9184, 0.7558)  1 Dy 3.62, 2 Tb 3.62, 6 Pr 3.69, 3 La 3.73-3.74
La (0.1668, 0.8332, 0.5000)  6 La 3.69-3.70, 6 Pr 3.73-3.74
Pr (0.4148, 0.0816, 0.2442)  1 Dy 3.62, 2 Tb 3.62, 6 Pr 3.69, 3 La 3.73-3.74
Pr (0.0816, 0.4148, 0.2442)  1 Dy 3.62, 2 Tb 3.62, 6 Pr 3.69, 3 La 3.73-3.74
Tb (0.3334, 0.6666, 0.0000)  6 Pr 3.62, 3 Dy 3.69, 3 Tb 3.69
Pr (0.7484, 0.7484, 0.2444)  1 Dy 3.62, 2 Tb 3.62, 6 Pr 3.69, 3 La 3.73-3.74
La (0.5000, 0.5000, 0.5000)  6 La 3.69, 6 Pr 3.73-3.74


The following is a DFT calculation (PBE) of a relaxed structure of Ac3Pr2Zn2Pd4.

Summary:
**Symmetry**: P-3m1, No. 164
**Energy relative to the elements**: -647 kJ/mol of formula units

Cell lengths 4.5527, 4.5527, 16.9742 Å; angles 90.00, 90.00, 120.00 degrees
Closest atoms and distances in Å follow each position.
Element x y z (fractional)
Ac (0.0000, 0.0000, 0.0000)  6 Pd 3.33, 6 Zn 3.35
Pr (0.6667, 0.3333, 0.4240)  3 Pd 2.93
Ac (0.0000, 0.0000, 0.2414)  6 Pd 3.19-3.34, 3 Zn 3.32
Zn (0.3333, 0.6667, 0.1219)  3 Pd 2.63
Ac (0.0000, 0.0000, 0.7586)  6 Pd 3.19-3.34, 3 Zn 3.32
Zn (0.6667, 0.3333, 0.8781)  3 Pd 2.63
Pr (0.3333, 0.6667, 0.5760)  3 Pd 2.93
Pd (0.6667, 0.3333, 0.6522)  3 Pr 2.93, 3 Ac 3.19
Pd (0.6667, 0.3333, 0.1204)  3 Zn 2.63
Pd (0.3333, 0.6667, 0.3478)  3 Pr 2.93, 3 Ac 3.19
Pd (0.3333, 0.6667, 0.8796)  3 Zn 2.63


The following is a DFT calculation (PBE) of a relaxed structure of Be2TcHg.

Summary:
**Symmetry**: Cmmm, No. 65
**Energy relative to the elements**: 143 kJ/mol of formula units

Cell lengths 2.7404, 2.7404, 7.8041 Å; angles 90.00, 90.00, 106.75 degrees
Closest atoms and distances in Å follow each position.
Element x y z (fractional)
Be (0.0000, 0.0000, 0.9640)  2 Tc 2.34
Hg (0.5000, 0.5000, 0.2500)  4 Hg 2.74, 4 Be 2.77
Be (0.0000, 0.0000, 0.5360)  2 Tc 2.34
Tc (0.5000, 0.5000, 0.7500)  4 Be 2.34


What did the third record say?
The following is a DFT calculation (PBE) of a relaxed structure of Ac3Pr2Zn2Pd4.

Summary:
**Symmetry**: P-3m1, No. 164
**Energy relative to the elements**: -647 kJ/mol of formula units

Cell lengths 4.5527, 4.5527, 16.9742 Å; angles 90.00, 90.00, 120.00 degrees
Closest atoms and distances in Å follow each position.
Element x y z (fractional)
Ac (0.0000, 0.0000, 0.0000)  6 Pd 3.33, 6 Zn 3.35
Pr (0.6667, 0.3333, 0.4240)  3 Pd 2.93
Ac (0.0000, 0.0000, 0.2414)  6 Pd 3.19-3.34, 3 Zn 3.32
Zn (0.3333, 0.6667, 0.1219)  3 Pd 2.63
Ac (0.0000, 0.0000, 0.7586)  6 Pd 3.19-3.34, 3 Zn 3.32
Zn (0.6667, 0.3333, 0.8781)  3 Pd 2.63
Pr (0.3333, 0.6667, 0.5760)  3 Pd 2.93
Pd (0.6667, 0.3333, 0.6522)  3 Pr 2.93, 3 Ac 3.19
Pd (0.6667, 0.3333, 0.1204)  3 Zn 2.63
Pd (0.3333, 0.6667, 0.3478)  3 Pr 2.93, 3 Ac 3.19
Pd (0.3333, 0.6667, 0.8796)  3 Zn 2.63